# Li2IrOs

Crystalline Li2IrOs at its relaxed geometry (PBE, Alexandria via LeMat-Bulk).

extended XYZ file:
```
4
Lattice="2.8030 0.0000 0.0000 0.0000 2.8030 0.0000 0.0000 0.0000 7.0726" Properties=species:S:1:pos:R:3 pbc="T T T"
Li 0.0000 0.0000 0.0000
Li 1.4015 1.4015 1.7865
Ir 1.4015 1.4015 5.3013
Os 0.0000 0.0000 3.6112
```

* formation energy from the elements: 0.048 eV per atom
* energy above the lowest structure with this stoichiometry: 2.67 kcal/mol of atoms
* symmetry: P4mm, No. 99